Arrangement i

Computed, not measured: crystalline Be3AgO at its relaxed geometry at the PBE level of DFT.

abc: 3.647 3.647 3.647
angles: 90.00 90.00 90.00
Space group Pm-3m (No. 221)
Symmetry-distinct sites (fractional):
Be (0.000, 0.000, 0.500)
Ag (0.500, 0.500, 0.500)
O (0.000, 0.000, 0.000)

Output
- mass density (g cm⁻³) = 5.2

---

Arrangement ii

Computed, not measured: crystalline Be3AgO at its relaxed geometry at the PBE level of DFT.

abc: 4.302 4.302 4.302
angles: 90.00 90.00 90.00
Space group Pm-3m (No. 221)
Symmetry-distinct sites (fractional):
Be (0.000, 0.000, 0.500)
Ag (0.000, 0.000, 0.000)
O (0.500, 0.500, 0.500)

Output
- mass density (g cm⁻³) = 3.1

---

Relative energies in meV per atom: arrangement i 0; arrangement ii 1615

---

Arrangement i

Computed, not measured: crystalline BeAgP2O at its relaxed geometry at the PBE level of DFT.

abc: 3.984 3.984 4.702
angles: 90.00 90.00 90.00
Space group P4/mmm (No. 123)
Symmetry-distinct sites (fractional):
Be (0.000, 0.000, 0.000)
Ag (0.500, 0.500, 0.000)
P (0.000, 0.500, 0.500)
O (0.500, 0.500, 0.500)

Output
- mass density (g cm⁻³) = 4.3

---

Arrangement ii

Computed, not measured: crystalline BeAgP2O at its relaxed geometry at the PBE level of DFT.

abc: 4.868 4.868 3.865
angles: 90.00 90.00 90.00
Space group P4/mmm (No. 123)
Symmetry-distinct sites (fractional):
Be (0.000, 0.000, 0.000)
Ag (0.500, 0.500, 0.500)
P (0.000, 0.500, 0.500)
O (0.500, 0.500, 0.000)

Output
- mass density (g cm⁻³) = 3.5

---

Relative energies in meV per atom: arrangement i 0; arrangement ii 536

---

Arrangement i

Computed, not measured: crystalline BeAgPO4 at its relaxed geometry at the PBE level of DFT.

abc: 4.871 4.871 7.226
angles: 90.00 90.00 90.00
Space group I-4 (No. 82)
Symmetry-distinct sites (fractional):
Be (0.000, 0.000, 0.000)
Ag (0.000, 0.000, 0.500)
P (0.000, 0.500, 0.250)
O (0.106, 0.259, 0.128)

Output
- mass density (g cm⁻³) = 4.1

---

Arrangement ii

Computed, not measured: crystalline BeAgPO4 at its relaxed geometry at the PBE level of DFT.

abc: 8.332 7.989 16.798
angles: 90.00 119.48 90.00
Space group P2_1/c (No. 14)
Symmetry-distinct sites (fractional):
Be (0.014, 0.173, 0.419)
Be (0.320, 0.174, 0.242)
Be (0.343, 0.671, 0.409)
Ag (0.002, 0.507, 0.252)
Ag (0.277, 0.014, 0.064)
Ag (0.365, 0.018, 0.585)
P (0.022, 0.704, 0.918)
P (0.321, 0.708, 0.738)
P (0.340, 0.206, 0.910)
O (0.061, 0.248, 0.520)
O (0.091, 0.520, 0.933)
O (0.123, 0.227, 0.684)
O (0.133, 0.219, 0.882)
O (0.190, 0.679, 0.443)
O (0.206, 0.678, 0.154)
O (0.260, 0.732, 0.811)
O (0.280, 0.523, 0.705)
O (0.383, 0.024, 0.894)
O (0.383, 0.175, 0.351)
O (0.461, 0.245, 0.513)
O (0.472, 0.246, 0.719)

Output
- mass density (g cm⁻³) = 4.3

---

Relative energies in meV per atom: arrangement i 20; arrangement ii 0

---

Arrangement i

Computed, not measured: crystalline BeAg3Os at its relaxed geometry at the PBE level of DFT.

abc: 5.092 5.092 5.092
angles: 90.00 90.00 90.00
Space group Pm-3m (No. 221)
Symmetry-distinct sites (fractional):
Be (0.000, 0.000, 0.000)
Ag (0.000, 0.500, 0.500)
Os (0.500, 0.500, 0.500)

Output
- mass density (g cm⁻³) = 6.6

---

Arrangement ii

Computed, not measured: crystalline BeAg3Os at its relaxed geometry at the PBE level of DFT.

abc: 4.319 4.319 4.319
angles: 90.00 90.00 90.00
Space group Pm-3m (No. 221)
Symmetry-distinct sites (fractional):
Be (0.000, 0.000, 0.000)
Ag (0.000, 0.000, 0.500)
Os (0.500, 0.500, 0.500)

Output
- mass density (g cm⁻³) = 10.8

---

Relative energies in meV per atom: arrangement i 853; arrangement ii 0

---

Arrangement i

Computed, not measured: crystalline Be2AgOs at its relaxed geometry at the PBE level of DFT.

abc: 7.690 2.796 4.911
angles: 90.00 102.70 90.00
Space group C2/m (No. 12)
Symmetry-distinct sites (fractional):
Be (0.241, 0.000, 0.184)
Ag (0.000, 0.000, 0.500)
Os (0.000, 0.500, 0.000)

Output
- mass density (g cm⁻³) = 10.2

---

Arrangement ii

Computed, not measured: crystalline Be2AgOs at its relaxed geometry at the PBE level of DFT.

abc: 3.109 3.481 4.587
angles: 90.00 109.64 90.00
Space group Pm (No. 6)
Symmetry-distinct sites (fractional):
Be (0.000, 0.000, 0.000)
Be (0.152, 0.500, 0.311)
Ag (0.425, 0.500, 0.850)
Os (0.704, 0.000, 0.416)

Output
- mass density (g cm⁻³) = 11.2

---

Arrangement iii

Computed, not measured: crystalline Be2AgOs at its relaxed geometry at the PBE level of DFT.

abc: 5.904 5.904 5.904
angles: 90.00 90.00 90.00
Space group F-43m (No. 216)
Symmetry-distinct sites (fractional):
Be (0.000, 0.000, 0.000)
Be (0.250, 0.250, 0.250)
Ag (0.000, 0.000, 0.500)
Os (0.250, 0.250, 0.750)

Output
- mass density (g cm⁻³) = 10.2

---

Arrangement iv

Computed, not measured: crystalline Be2AgOs at its relaxed geometry at the PBE level of DFT.

abc: 2.947 4.486 7.648
angles: 90.00 90.00 90.00
Space group Cmmm (No. 65)
Symmetry-distinct sites (fractional):
Be (0.000, 0.000, 0.232)
Ag (0.000, 0.500, 0.500)
Os (0.000, 0.500, 0.000)

Output
- mass density (g cm⁻³) = 10.4

---

Relative energies in meV per atom: arrangement i 175; arrangement ii 0; arrangement iii 535; arrangement iv 106

---

Arrangement i

Computed, not measured: crystalline Be2AgOs at its relaxed geometry at the PBE level of DFT.

abc: 2.7394 2.7394 23.3018
angles: 90.00 90.00 120.00
Space group R-3m (No. 166, hexagonal axes)
Symmetry-distinct sites (fractional):
Be (0.0000, 0.0000, 0.2447)
Ag (0.0000, 0.0000, 0.0000)
Os (0.0000, 0.0000, 0.5000)

Output
- mass density (g cm⁻³) = 10.4

---

Arrangement ii

Computed, not measured: crystalline Be2AgOs at its relaxed geometry at the PBE level of DFT.

abc: 8.915 2.633 4.280
angles: 90.00 105.44 90.00
Space group Cm (No. 8)
Symmetry-distinct sites (fractional):
Be (0.000, 0.000, 0.000)
Be (0.223, 0.500, 0.348)
Ag (0.475, 0.000, 0.486)
Os (0.252, 0.000, 0.875)

Output
- mass density (g cm⁻³) = 10.8

---

Relative energies in meV per atom: arrangement i 0; arrangement ii 16

---

Arrangement i

Computed, not measured: crystalline Be3AgOs at its relaxed geometry at the PBE level of DFT.

abc: 4.217 4.217 4.217
angles: 90.00 90.00 90.00
Space group Pm-3m (No. 221)
Symmetry-distinct sites (fractional):
Be (0.000, 0.000, 0.500)
Ag (0.500, 0.500, 0.500)
Os (0.000, 0.000, 0.000)

Output
- mass density (g cm⁻³) = 7.2

---

Arrangement ii

Computed, not measured: crystalline Be3AgOs at its relaxed geometry at the PBE level of DFT.

abc: 4.105 4.105 4.105
angles: 90.00 90.00 90.00
Space group Pm-3m (No. 221)
Symmetry-distinct sites (fractional):
Be (0.000, 0.000, 0.500)
Ag (0.000, 0.000, 0.000)
Os (0.500, 0.500, 0.500)

Output
- mass density (g cm⁻³) = 7.8

---

Relative energies in meV per atom: arrangement i 0; arrangement ii 631

---

Arrangement i

Computed, not measured: crystalline BeAgOs3 at its relaxed geometry at the PBE level of DFT.

abc: 4.156 4.156 4.156
angles: 90.00 90.00 90.00
Space group Pm-3m (No. 221)
Symmetry-distinct sites (fractional):
Be (0.000, 0.000, 0.000)
Ag (0.500, 0.500, 0.500)
Os (0.000, 0.000, 0.500)

Output
- mass density (g cm⁻³) = 15.9

---

Arrangement ii

Computed, not measured: crystalline BeAgOs3 at its relaxed geometry at the PBE level of DFT.

abc: 4.786 4.786 4.786
angles: 90.00 90.00 90.00
Space group Pm-3m (No. 221)
Symmetry-distinct sites (fractional):
Be (0.000, 0.000, 0.000)
Ag (0.500, 0.500, 0.500)
Os (0.000, 0.500, 0.500)

Output
- mass density (g cm⁻³) = 10.4

---

Relative energies in meV per atom: arrangement i 0; arrangement ii 2351

---

Arrangement i

Computed, not measured: crystalline BeAg2P at its relaxed geometry at the PBE level of DFT.

abc: 6.315 6.315 6.315
angles: 90.00 90.00 90.00
Space group F-43m (No. 216)
Symmetry-distinct sites (fractional):
Be (0.000, 0.000, 0.000)
Ag (0.000, 0.000, 0.500)
Ag (0.250, 0.250, 0.750)
P (0.250, 0.250, 0.250)

Output
- mass density (g cm⁻³) = 6.7

---

Arrangement ii

Computed, not measured: crystalline BeAg2P at its relaxed geometry at the PBE level of DFT.

abc: 2.973 2.973 6.855
angles: 90.00 90.00 90.00
Space group P4mm (No. 99)
Symmetry-distinct sites (fractional):
Be (0.000, 0.000, 0.000)
Ag (0.000, 0.000, 0.450)
Ag (0.500, 0.500, 0.751)
P (0.500, 0.500, 0.145)

Output
- mass density (g cm⁻³) = 7.0

---

Arrangement iii

Computed, not measured: crystalline BeAg2P at its relaxed geometry at the PBE level of DFT.

abc: 3.852 3.852 8.146
angles: 90.00 90.00 90.00
Space group I-4m2 (No. 119)
Symmetry-distinct sites (fractional):
Be (0.000, 0.000, 0.000)
Ag (0.000, 0.000, 0.500)
Ag (0.000, 0.500, 0.250)
P (0.000, 0.500, 0.750)

Output
- mass density (g cm⁻³) = 7.0

---

Relative energies in meV per atom: arrangement i 231; arrangement ii 0; arrangement iii 116

---

Arrangement i

Computed, not measured: crystalline BeAgP3 at its relaxed geometry at the PBE level of DFT.

abc: 4.313 4.313 4.313
angles: 90.00 90.00 90.00
Space group Pm-3m (No. 221)
Symmetry-distinct sites (fractional):
Be (0.000, 0.000, 0.000)
Ag (0.500, 0.500, 0.500)
P (0.000, 0.000, 0.500)

Output
- mass density (g cm⁻³) = 4.3

---

Arrangement ii

Computed, not measured: crystalline BeAgP3 at its relaxed geometry at the PBE level of DFT.

abc: 4.781 4.781 4.781
angles: 90.00 90.00 90.00
Space group Pm-3m (No. 221)
Symmetry-distinct sites (fractional):
Be (0.000, 0.000, 0.000)
Ag (0.500, 0.500, 0.500)
P (0.000, 0.500, 0.500)

Output
- mass density (g cm⁻³) = 3.2

---

Relative energies in meV per atom: arrangement i 0; arrangement ii 913

---

Arrangement i

Computed, not measured: crystalline Be3AgP at its relaxed geometry at the PBE level of DFT.

abc: 4.298 4.298 4.298
angles: 90.00 90.00 90.00
Space group Pm-3m (No. 221)
Symmetry-distinct sites (fractional):
Be (0.000, 0.000, 0.500)
Ag (0.000, 0.000, 0.000)
P (0.500, 0.500, 0.500)

Output
- mass density (g cm⁻³) = 3.5

---

Arrangement ii

Computed, not measured: crystalline Be3AgP at its relaxed geometry at the PBE level of DFT.

abc: 4.126 4.126 4.126
angles: 90.00 90.00 90.00
Space group Pm-3m (No. 221)
Symmetry-distinct sites (fractional):
Be (0.000, 0.000, 0.500)
Ag (0.500, 0.500, 0.500)
P (0.000, 0.000, 0.000)

Output
- mass density (g cm⁻³) = 3.9

---

Relative energies in meV per atom: arrangement i 455; arrangement ii 0